A geometry-optimized NbMoPt3 structure, computed with GGA-PBEsol.

Calculated values
- DOS(E_F) (states/eV per cell) = 4.10
- energy of formation from the pure elements (eV per atom) = 1.501

a = 4.762 Å, b = 4.762 Å, c = 4.762 Å
α = 90.00°, β = 90.00°, γ = 90.00°
Sites, in units of the cell vectors:
1 Nb 0.000 0.000 0.000
2 Mo 0.500 0.500 0.500
3 Pt 0.000 0.000 0.500
4 Pt 0.000 0.500 0.000
5 Pt 0.500 0.000 0.000

***

A geometry-optimized TeMoPb2 structure, computed with GGA-PBEsol.

Calculated values
- DOS(E_F) (states/eV per cell) = 3.13
- formation energy without anion corrections (kJ per mole of atoms) = 66.8

a = 3.516 Å, b = 5.087 Å, c = 5.432 Å
α = 90.00°, β = 90.00°, γ = 90.00°
Sites, in units of the cell vectors:
1 Te 0.000 0.000 0.000
2 Mo 0.500 0.500 0.000
3 Pb 0.000 0.500 0.500
4 Pb 0.500 0.000 0.500

***

A geometry-optimized NbHPd3 structure, computed with GGA-PBEsol.

Calculated values
- total energy (eV for the cell shown) = -32.535
- DOS(E_F) (states/eV per cell) = 4.77

a = 3.990 Å, b = 3.990 Å, c = 3.990 Å
α = 90.00°, β = 90.00°, γ = 90.00°
Sites, in units of the cell vectors:
1 Nb 0.000 0.000 0.000
2 H 0.500 0.500 0.500
3 Pd 0.000 0.500 0.500
4 Pd 0.500 0.000 0.500
5 Pd 0.500 0.500 0.000

***

A geometry-optimized CaOsPb structure, computed with GGA-PBEsol.

Calculated values
- DOS(E_F) (states/eV per cell) = 6.29
- energy of formation from the pure elements (eV per atom) = 0.497

a = 6.591 Å, b = 6.591 Å, c = 6.591 Å
α = 90.00°, β = 90.00°, γ = 90.00°
Sites, in units of the cell vectors:
1 Ca 0.000 0.000 0.000
2 Ca 0.000 0.500 0.500
3 Ca 0.500 0.000 0.500
4 Ca 0.500 0.500 0.000
5 Os 0.250 0.250 0.750
6 Os 0.250 0.750 0.250
7 Os 0.750 0.250 0.250
8 Os 0.750 0.750 0.750
9 Pb 0.000 0.000 0.500
10 Pb 0.000 0.500 0.000
11 Pb 0.500 0.000 0.000
12 Pb 0.500 0.500 0.500

***

A geometry-optimized Dy9B5S21 structure, computed with GGA-PBEsol.

Calculated values
- formation energy without anion corrections (kJ per mole of atoms) = -146.6

a = 11.016 Å, b = 11.016 Å, c = 11.016 Å
α = 95.48°, β = 95.48°, γ = 95.48°
Sites, in units of the cell vectors:
1 Dy 0.018 0.779 0.632
2 Dy 0.022 0.183 0.795
3 Dy 0.101 0.342 0.488
4 Dy 0.122 0.986 0.343
5 Dy 0.183 0.795 0.022
6 Dy 0.323 0.710 0.463
7 Dy 0.342 0.488 0.101
8 Dy 0.343 0.122 0.986
9 Dy 0.452 0.686 0.807
10 Dy 0.463 0.323 0.710
11 Dy 0.488 0.101 0.342
12 Dy 0.632 0.018 0.779
13 Dy 0.686 0.807 0.452
14 Dy 0.710 0.463 0.323
15 Dy 0.779 0.632 0.018
16 Dy 0.795 0.022 0.183
17 Dy 0.807 0.452 0.686
18 Dy 0.986 0.343 0.122
19 B 0.021 0.680 0.337
20 B 0.172 0.524 0.842
21 B 0.291 0.291 0.291
22 B 0.337 0.021 0.680
23 B 0.471 0.471 0.471
24 B 0.524 0.842 0.172
25 B 0.680 0.337 0.021
26 B 0.789 0.789 0.789
27 B 0.842 0.172 0.524
28 B 0.970 0.970 0.970
29 S 0.000 0.166 0.269
30 S 0.003 0.117 0.552
31 S 0.058 0.416 0.728
32 S 0.087 0.604 0.478
33 S 0.090 0.958 0.867
34 S 0.117 0.552 0.003
35 S 0.165 0.743 0.267
36 S 0.166 0.269 0.000
37 S 0.199 0.420 0.282
38 S 0.202 0.684 0.783
39 S 0.226 0.913 0.564
40 S 0.267 0.165 0.743
41 S 0.269 0.000 0.166
42 S 0.282 0.199 0.420
43 S 0.334 0.469 0.860
44 S 0.351 0.493 0.572
45 S 0.395 0.942 0.823
46 S 0.416 0.728 0.058
47 S 0.420 0.282 0.199
48 S 0.469 0.860 0.334
49 S 0.478 0.087 0.604
50 S 0.493 0.572 0.351
51 S 0.523 0.793 0.617
52 S 0.552 0.003 0.117
53 S 0.564 0.226 0.913
54 S 0.572 0.351 0.493
55 S 0.604 0.478 0.087
56 S 0.617 0.523 0.793
57 S 0.679 0.816 0.901
58 S 0.684 0.783 0.202
59 S 0.728 0.058 0.416
60 S 0.743 0.267 0.165
61 S 0.783 0.202 0.684
62 S 0.793 0.617 0.523
63 S 0.816 0.901 0.679
64 S 0.823 0.395 0.942
65 S 0.860 0.334 0.469
66 S 0.867 0.090 0.958
67 S 0.901 0.679 0.816
68 S 0.913 0.564 0.226
69 S 0.942 0.823 0.395
70 S 0.958 0.867 0.090

***

A geometry-optimized Cs3ReOs structure, computed with GGA-PBEsol.

Calculated values
- DOS(E_F) (states/eV per cell) = 4.73
- energy of formation from the pure elements (eV per atom) = 2.619

a = 5.699 Å, b = 5.699 Å, c = 5.699 Å
α = 90.00°, β = 90.00°, γ = 90.00°
Sites, in units of the cell vectors:
1 Cs 0.000 0.000 0.500
2 Cs 0.000 0.500 0.000
3 Cs 0.500 0.000 0.000
4 Re 0.000 0.000 0.000
5 Os 0.500 0.500 0.500

***

A geometry-optimized ScCl2O structure, computed with GGA-PBEsol.

Calculated values
- DOS(E_F) (states/eV per cell) = 5.85
- E above lowest polymorph (meV per atom) = 0
- formation energy without anion corrections (kJ per mole of atoms) = -170.3

a = 9.281 Å, b = 9.281 Å, c = 3.994 Å
α = 90.00°, β = 90.00°, γ = 90.00°
Sites, in units of the cell vectors:
1 Sc 0.000 0.000 0.000
2 Sc 0.000 0.500 0.250
3 Sc 0.500 0.000 0.750
4 Sc 0.500 0.500 0.500
5 Cl 0.091 0.250 0.125
6 Cl 0.250 0.591 0.375
7 Cl 0.250 0.909 0.875
8 Cl 0.409 0.250 0.625
9 Cl 0.591 0.750 0.625
10 Cl 0.750 0.091 0.875
11 Cl 0.750 0.409 0.375
12 Cl 0.909 0.750 0.125
13 O 0.000 0.000 0.500
14 O 0.000 0.500 0.750
15 O 0.500 0.000 0.250
16 O 0.500 0.500 0.000

***

A geometry-optimized CuBr structure, computed with GGA-PBEsol.

Calculated values
- formation energy without anion corrections (kJ per mole of atoms) = -19.5

a = 5.576 Å, b = 5.576 Å, c = 5.576 Å
α = 90.00°, β = 90.00°, γ = 90.00°
Sites, in units of the cell vectors:
1 Cu 0.000 0.000 0.000
2 Cu 0.000 0.500 0.500
3 Cu 0.500 0.000 0.500
4 Cu 0.500 0.500 0.000
5 Br 0.250 0.250 0.250
6 Br 0.250 0.750 0.750
7 Br 0.750 0.250 0.750
8 Br 0.750 0.750 0.250

***

A geometry-optimized K4CdSb structure, computed with GGA-PBEsol.

Calculated values
- DOS(E_F) (states/eV per cell) = 1.80
- formation energy without anion corrections (kJ per mole of atoms) = 16.5

a = 6.892 Å, b = 6.892 Å, c = 6.892 Å
α = 60.00°, β = 60.00°, γ = 60.00°
Sites, in units of the cell vectors:
1 K 0.124 0.124 0.124
2 K 0.124 0.124 0.629
3 K 0.124 0.629 0.124
4 K 0.629 0.124 0.124
5 Cd 0.500 0.500 0.500
6 Sb 0.750 0.750 0.750

***

A geometry-optimized LaAlPt2 structure, computed with GGA-PBEsol.

Calculated values
- DOS(E_F) (states/eV per cell) = 9.77
- energy of formation from the pure elements (eV per atom) = -0.606

a = 4.904 Å, b = 4.904 Å, c = 15.874 Å
α = 90.00°, β = 90.00°, γ = 90.00°
Sites, in units of the cell vectors:
1 La 0.000 0.000 0.000
2 La 0.000 0.500 0.250
3 La 0.500 0.000 0.750
4 La 0.500 0.500 0.500
5 Al 0.000 0.000 0.500
6 Al 0.000 0.500 0.750
7 Al 0.500 0.000 0.250
8 Al 0.500 0.500 0.000
9 Pt 0.107 0.250 0.625
10 Pt 0.250 0.607 0.875
11 Pt 0.250 0.893 0.375
12 Pt 0.393 0.250 0.125
13 Pt 0.607 0.750 0.125
14 Pt 0.750 0.107 0.375
15 Pt 0.750 0.393 0.875
16 Pt 0.893 0.750 0.625

***

A geometry-optimized Li4GeS4 structure, computed with GGA-PBEsol.

Calculated values
- DOS(E_F) (states/eV per cell) = 0.00
- E above lowest polymorph (meV per atom) = 25
- formation energy without anion corrections (kJ per mole of atoms) = -101.4

a = 13.235 Å, b = 7.866 Å, c = 6.235 Å
α = 90.00°, β = 90.00°, γ = 90.00°
Sites, in units of the cell vectors:
1 Li 0.066 0.250 0.153
2 Li 0.154 0.005 0.843
3 Li 0.154 0.495 0.843
4 Li 0.219 0.250 0.508
5 Li 0.281 0.750 0.008
6 Li 0.346 0.505 0.343
7 Li 0.346 0.995 0.343
8 Li 0.434 0.750 0.653
9 Li 0.566 0.250 0.347
10 Li 0.654 0.005 0.657
11 Li 0.654 0.495 0.657
12 Li 0.719 0.250 0.992
13 Li 0.781 0.750 0.492
14 Li 0.846 0.505 0.157
15 Li 0.846 0.995 0.157
16 Li 0.934 0.750 0.847
17 Ge 0.092 0.750 0.357
18 Ge 0.408 0.250 0.857
19 Ge 0.592 0.750 0.143
20 Ge 0.908 0.250 0.643
21 S 0.068 0.250 0.753
22 S 0.099 0.750 0.710
23 S 0.172 0.522 0.226
24 S 0.172 0.978 0.226
25 S 0.328 0.022 0.726
26 S 0.328 0.478 0.726
27 S 0.401 0.250 0.210
28 S 0.432 0.750 0.253
29 S 0.568 0.250 0.747
30 S 0.599 0.750 0.790
31 S 0.672 0.522 0.274
32 S 0.672 0.978 0.274
33 S 0.828 0.022 0.774
34 S 0.828 0.478 0.774
35 S 0.901 0.250 0.290
36 S 0.932 0.750 0.247

***

A geometry-optimized RbLiVP2O8 structure, computed with GGA-PBEsol.

Calculated values
- formation energy without anion corrections (kJ per mole of atoms) = -220.4

a = 4.836 Å, b = 8.665 Å, c = 16.276 Å
α = 90.00°, β = 96.32°, γ = 90.00°
Sites, in units of the cell vectors:
1 Rb 0.071 0.115 0.400
2 Rb 0.071 0.385 0.900
3 Rb 0.929 0.615 0.100
4 Rb 0.929 0.885 0.600
5 Li 0.253 0.565 0.520
6 Li 0.253 0.935 0.020
7 Li 0.747 0.065 0.980
8 Li 0.747 0.435 0.480
9 V 0.080 0.037 0.166
10 V 0.080 0.463 0.666
11 V 0.920 0.537 0.334
12 V 0.920 0.963 0.834
13 P 0.380 0.145 0.739
14 P 0.380 0.355 0.239
15 P 0.428 0.745 0.408
16 P 0.428 0.755 0.908
17 P 0.572 0.245 0.092
18 P 0.572 0.255 0.592
19 P 0.620 0.645 0.761
20 P 0.620 0.855 0.261
21 O 0.068 0.055 0.918
22 O 0.068 0.445 0.418
23 O 0.144 0.724 0.358
24 O 0.144 0.776 0.858
25 O 0.165 0.021 0.751
26 O 0.165 0.479 0.251
27 O 0.287 0.189 0.249
28 O 0.287 0.311 0.749
29 O 0.341 0.621 0.709
30 O 0.341 0.879 0.209
31 O 0.380 0.103 0.092
32 O 0.380 0.397 0.592
33 O 0.399 0.706 0.996
34 O 0.399 0.794 0.496
35 O 0.426 0.119 0.641
36 O 0.426 0.381 0.141
37 O 0.574 0.619 0.859
38 O 0.574 0.881 0.359
39 O 0.601 0.206 0.504
40 O 0.601 0.294 0.004
41 O 0.620 0.603 0.408
42 O 0.620 0.897 0.908
43 O 0.659 0.121 0.791
44 O 0.659 0.379 0.291
45 O 0.713 0.689 0.251
46 O 0.713 0.811 0.751
47 O 0.835 0.521 0.749
48 O 0.835 0.979 0.249
49 O 0.856 0.224 0.142
50 O 0.856 0.276 0.642
51 O 0.932 0.555 0.582
52 O 0.932 0.945 0.082

***

A geometry-optimized TiRu2Pt2 structure, computed with GGA-PBEsol.

Calculated values
- DOS(E_F) (states/eV per cell) = 10.54
- energy of formation from the pure elements (eV per atom) = -0.013

a = 3.490 Å, b = 3.490 Å, c = 12.944 Å
α = 90.00°, β = 90.00°, γ = 90.00°
Sites, in units of the cell vectors:
1 Ti 0.000 0.000 0.000
2 Ti 0.500 0.500 0.500
3 Ru 0.000 0.500 0.250
4 Ru 0.000 0.500 0.750
5 Ru 0.500 0.000 0.250
6 Ru 0.500 0.000 0.750
7 Pt 0.000 0.000 0.403
8 Pt 0.000 0.000 0.597
9 Pt 0.500 0.500 0.097
10 Pt 0.500 0.500 0.903

***

A geometry-optimized CuTe2Au structure, computed with GGA-PBEsol.

Calculated values
- DOS(E_F) (states/eV per cell) = 5.66
- formation energy without anion corrections (kJ per mole of atoms) = 0.2

a = 3.914 Å, b = 3.914 Å, c = 19.319 Å
α = 90.00°, β = 90.00°, γ = 120.00°
Sites, in units of the cell vectors:
1 Cu 0.000 0.000 0.000
2 Cu 0.333 0.667 0.667
3 Cu 0.667 0.333 0.333
4 Te 0.000 0.000 0.256
5 Te 0.000 0.000 0.744
6 Te 0.333 0.667 0.411
7 Te 0.333 0.667 0.923
8 Te 0.667 0.333 0.077
9 Te 0.667 0.333 0.589
10 Au 0.000 0.000 0.500
11 Au 0.333 0.667 0.167
12 Au 0.667 0.333 0.833

***

A geometry-optimized Be7Hg structure, computed with GGA-PBEsol.

Calculated values
- DOS(E_F) (states/eV per cell) = 1.07
- energy of formation from the pure elements (eV per atom) = 0.322

a = 4.822 Å, b = 4.822 Å, c = 4.822 Å
α = 60.00°, β = 60.00°, γ = 60.00°
Sites, in units of the cell vectors:
1 Be 0.000 0.000 0.000
2 Be 0.000 0.000 0.500
3 Be 0.000 0.500 0.000
4 Be 0.000 0.500 0.500
5 Be 0.500 0.000 0.000
6 Be 0.500 0.000 0.500
7 Be 0.500 0.500 0.000
8 Hg 0.500 0.500 0.500

***

A geometry-optimized NaLiSb2Te structure, computed with GGA-PBEsol.

Calculated values
- DOS(E_F) (states/eV per cell) = 2.88
- formation energy without anion corrections (kJ per mole of atoms) = -0.5

a = 4.967 Å, b = 4.967 Å, c = 5.389 Å
α = 90.00°, β = 90.00°, γ = 90.00°
Sites, in units of the cell vectors:
1 Na 0.000 0.000 0.000
2 Li 0.500 0.500 0.500
3 Sb 0.000 0.500 0.500
4 Sb 0.500 0.000 0.500
5 Te 0.500 0.500 0.000

***

A geometry-optimized CaLaAg structure, computed with GGA-PBEsol.

Calculated values
- DOS(E_F) (states/eV per cell) = 8.23
- energy of formation from the pure elements (eV per atom) = -0.127

a = 3.649 Å, b = 3.649 Å, c = 13.341 Å
α = 90.00°, β = 90.00°, γ = 90.00°
Sites, in units of the cell vectors:
1 Ca 0.000 0.000 0.000
2 Ca 0.500 0.500 0.500
3 La 0.000 0.000 0.725
4 La 0.500 0.500 0.225
5 Ag 0.000 0.000 0.366
6 Ag 0.500 0.500 0.866

***

A geometry-optimized Hg2PbSe structure, computed with GGA-PBEsol.

Calculated values
- DOS(E_F) (states/eV per cell) = 0.95
- formation energy without anion corrections (kJ per mole of atoms) = -21.0

a = 12.614 Å, b = 4.241 Å, c = 4.248 Å
α = 90.00°, β = 109.54°, γ = 90.00°
Sites, in units of the cell vectors:
1 Hg 0.240 0.000 0.240
2 Hg 0.260 0.500 0.760
3 Hg 0.740 0.500 0.240
4 Hg 0.760 0.000 0.760
5 Pb 0.000 0.500 0.500
6 Pb 0.500 0.000 0.500
7 Se 0.000 0.000 0.000
8 Se 0.500 0.500 0.000

***

A geometry-optimized CrPtSe2 structure, computed with GGA-PBEsol.

Calculated values
- DOS(E_F) (states/eV per cell) = 4.35
- E above lowest polymorph (meV per atom) = 0
- formation energy without anion corrections (kJ per mole of atoms) = -14.0

a = 12.048 Å, b = 2.901 Å, c = 4.592 Å
α = 90.00°, β = 98.29°, γ = 90.00°
Sites, in units of the cell vectors:
1 Cr 0.000 0.000 0.000
2 Cr 0.500 0.500 0.000
3 Pt 0.000 0.500 0.500
4 Pt 0.500 0.000 0.500
5 Se 0.152 0.500 0.205
6 Se 0.348 0.000 0.795
7 Se 0.652 0.000 0.205
8 Se 0.848 0.500 0.795